# 1
Compound: NaAc2AsO6
Source: the Alexandria database
Functional: PBE-GGA
Structure: relaxed

space group: P4mm, No. 99
ΔE_f (raw): -230.8 kJ per mole of atoms

abc: 4.6723 5.5989 5.5989
angles: 90.00 90.00 90.00
Last column: nearest neighbours and their distance in Å.
Fractional positions:
O1 0.7009 0.2218 0.7782  1 As 1.81
O2 0.7009 0.7782 0.2218  1 As 1.81
O3 0.1183 0.5000 0.5000  2 Na 2.23-2.44
O4 0.2273 0.0000 0.0000  1 As 1.77
O5 0.7009 0.7782 0.7782  1 As 1.81
O6 0.7009 0.2218 0.2218  1 As 1.81
Na1 0.5964 0.5000 0.5000  6 O 2.23-2.44
As1 0.6067 0.0000 0.0000  5 O 1.77-1.81
Ac1 0.0472 0.5000 0.0000  6 O 2.57-2.82
Ac2 0.0472 0.0000 0.5000  6 O 2.57-2.82

# 2
Compound: Na2AcAsO
Source: the Alexandria database
Functional: PBE-GGA
Structure: relaxed

space group: P4/mmm, No. 123
ΔE_f (raw): -140.6 kJ per mole of atoms

abc: 4.6742 4.6742 5.0344
angles: 90.00 90.00 90.00
Last column: nearest neighbours and their distance in Å.
Fractional positions:
Ac1 0.0000 0.0000 0.4999  2 O 2.52
Na1 0.0000 0.5000 0.9999  2 O 2.34
Na2 0.5000 0.0000 0.9999  2 O 2.34
O1 0.0000 0.0000 0.0001  4 Na 2.34, 2 Ac 2.52
As1 0.5000 0.5000 0.5001  4 Ac 3.30-3.31, 8 Na 3.43-3.44

# 3
Compound: NaAcAs2O7
Source: the Alexandria database
Functional: PBE-GGA
Structure: relaxed

space group: P4/mmm, No. 123
ΔE_f (raw): -160.7 kJ per mole of atoms

abc: 3.6180 3.6180 11.4070
angles: 90.00 90.00 90.00
Last column: nearest neighbours and their distance in Å.
Fractional positions:
Ac1 0.0000 0.0000 0.0000  12 O 2.56-2.76
As1 0.5000 0.5000 0.7630  1 O 1.68
As2 0.5000 0.5000 0.2370  1 O 1.68
O1 0.5000 0.0000 0.8173  2 As 1.91
O2 0.5000 0.5000 0.3842  1 As 1.68
O3 0.5000 0.0000 0.1827  2 As 1.91
O4 0.0000 0.5000 0.8173  2 As 1.91
O5 0.5000 0.5000 0.6158  1 As 1.68
O6 0.0000 0.5000 0.1827  2 As 1.91
O7 0.5000 0.5000 0.0000  4 Ac 2.56, 2 As 2.70, 8 O 2.76
Na1 0.0000 0.0000 0.5000  8 O 2.88

# 4
Compound: Na3Ac3AsO8
Source: the Alexandria database
Functional: PBE-GGA
Structure: relaxed

space group: R-3m, No. 166
ΔE_f (raw): -212.4 kJ per mole of atoms

abc: 7.2913 7.2916 7.0230
angles: 121.28 90.00 120.00
Last column: nearest neighbours and their distance in Å.
Fractional positions:
Ac1 0.5000 0.5000 0.5000  6 O 2.46-2.57
Ac2 0.5000 0.0000 0.5000  6 O 2.46-2.57
Ac3 0.0000 0.5000 0.5000  6 O 2.46-2.57
O1 0.7984 0.0055 0.3040  1 As 2.04
O2 0.2016 0.9945 0.6960  1 As 2.04
O3 0.7427 0.4854 0.7280  3 Ac 2.46, 3 Na 2.60
O4 0.7984 0.5969 0.3040  1 As 2.04
O5 0.2071 0.0055 0.3040  1 As 2.04
O6 0.7929 0.9945 0.6960  1 As 2.04
O7 0.2573 0.5146 0.2720  3 Ac 2.46, 3 Na 2.60
O8 0.2016 0.4031 0.6960  1 As 2.04
Na1 0.0000 0.5000 0.0000  6 O 2.59-2.60
Na2 0.5000 0.5000 0.0000  6 O 2.59-2.60
Na3 0.0000 0.0000 0.0000  6 O 2.59-2.60
As1 0.0000 0.0000 0.5000  6 O 2.04

# 5
Compound: NaAcAs2O6
Source: the Alexandria database
Functional: PBE-GGA
Structure: relaxed

space group: R-3, No. 148
ΔE_f (raw): -172.0 kJ per mole of atoms

abc: 5.6660 5.6660 6.8073
angles: 65.41 65.41 60.00
Last column: nearest neighbours and their distance in Å.
Fractional positions:
O1 0.5375 0.2504 0.2541  1 As 1.75
O2 0.2504 0.9581 0.2541  1 As 1.75
O3 0.7496 0.0419 0.7459  1 As 1.75
O4 0.9581 0.5375 0.2541  1 As 1.75
O5 0.0419 0.4625 0.7459  1 As 1.75
O6 0.4625 0.7496 0.7459  1 As 1.75
As1 0.7846 0.7846 0.6463  3 O 1.75
As2 0.2154 0.2154 0.3537  3 O 1.75
Na1 0.5000 0.5000 0.5000  6 O 2.49
Ac1 0.0000 0.0000 0.0000  6 O 2.53

# 6
Compound: NaAc2PaAs4
Source: the Alexandria database
Functional: PBE-GGA
Structure: relaxed

E_form: -8.28 eV/f.u.
space group: P2/m, No. 10

abc: 4.4295 7.5676 7.4590
angles: 109.29 90.00 90.00
Last column: nearest neighbours and their distance in Å.
Fractional positions:
As1 0.0000 0.7680 0.2287  1 Pa 2.82, 2 Na 3.11, 2 Ac 3.12
As2 0.0000 0.2320 0.7713  1 Pa 2.82, 2 Na 3.11, 2 Ac 3.12
As3 0.5000 0.2302 0.2226  2 Pa 2.96, 1 Na 3.03, 3 Ac 3.11-3.25
As4 0.5000 0.7698 0.7774  2 Pa 2.96, 1 Na 3.03, 3 Ac 3.11-3.25
Ac1 0.5000 0.0000 0.5000  6 As 3.11-3.12
Ac2 0.0000 0.5000 0.5000  6 As 3.25-3.30
Pa1 0.0000 0.0000 0.0000  6 As 2.82-2.96
Na1 0.5000 0.5000 0.0000  6 As 3.03-3.11

# 7
Compound: NaAcAsPd
Source: the Alexandria database
Functional: PBE-GGA
Structure: relaxed

E_form: -2.51 eV/f.u.
space group: F-43m, No. 216

abc: 5.2099 5.2099 5.2099
angles: 60.00 60.00 60.00
Last column: nearest neighbours and their distance in Å.
Fractional positions:
Pd1 0.5000 0.5000 0.5000  4 Ac 3.19, 4 Na 3.19
Ac1 0.7500 0.7500 0.7500  4 Pd 3.19, 4 As 3.19
As1 0.0000 0.0000 0.0000  4 Na 3.19, 4 Ac 3.19
Na1 0.2500 0.2500 0.2500  4 As 3.19, 4 Pd 3.19

# 8
Compound: NaAc2As3Pd4
Source: the Alexandria database
Functional: PBE-GGA
Structure: relaxed

E_form: -8.34 eV/f.u.
space group: P-4m2, No. 115

abc: 4.4295 4.4295 10.8246
angles: 90.00 90.00 90.00
Last column: nearest neighbours and their distance in Å.
Fractional positions:
As1 0.5000 0.0000 0.8713  5 Pd 2.49-2.62
As2 0.0000 0.0000 0.5000  4 Pd 2.69
As3 0.0000 0.5000 0.1287  5 Pd 2.49-2.62
Ac1 0.5000 0.0000 0.2350  6 As 3.34-3.62, 8 Pd 3.37-3.41, 2 Na 3.62
Ac2 0.0000 0.5000 0.7650  6 As 3.34-3.62, 8 Pd 3.37-3.41, 2 Na 3.62
Pd1 0.0000 0.5000 0.3585  3 As 2.49-2.69, 2 Na 2.69
Pd2 0.0000 0.0000 0.0000  4 As 2.62
Pd3 0.5000 0.5000 0.0000  4 As 2.62
Pd4 0.5000 0.0000 0.6415  3 As 2.49-2.69, 2 Na 2.69
Na1 0.5000 0.5000 0.5000  4 Pd 2.69

# 9
Compound: NaAcAs2Pd2
Source: the Alexandria database
Functional: PBE-GGA
Structure: relaxed

E_form: -4.72 eV/f.u.
space group: P-3m1, No. 164

abc: 4.3194 4.3194 8.6256
angles: 90.00 90.00 120.00
Last column: nearest neighbours and their distance in Å.
Fractional positions:
Pd1 0.6667 0.3333 0.2657  3 As 2.50
Pd2 0.3333 0.6667 0.7343  3 As 2.50
As1 0.3333 0.6667 0.2472  3 Pd 2.50
As2 0.6667 0.3333 0.7528  3 Pd 2.50
Ac1 0.0000 0.0000 0.0000  6 As 3.28, 6 Pd 3.39
Na1 0.0000 0.0000 0.5000  6 Pd 3.21, 6 As 3.31

# 10
Compound: NaAc2As4Pt3
Source: the Alexandria database
Functional: PBE-GGA
Structure: relaxed

E_form: -8.89 eV/f.u.
space group: P-4m2, No. 115

abc: 4.5743 4.5743 10.3547
angles: 90.00 90.00 90.00
Last column: nearest neighbours and their distance in Å.
Fractional positions:
Pt1 0.0000 0.5000 0.1096  5 As 2.55-2.57
Pt2 0.5000 0.0000 0.8904  5 As 2.55-2.57
Pt3 0.0000 0.0000 0.5000  4 As 2.72
As1 0.5000 0.5000 0.0000  4 Pt 2.55
As2 0.0000 0.0000 0.0000  4 Pt 2.55
As3 0.0000 0.5000 0.3574  3 Pt 2.57-2.72, 2 Na 2.72
As4 0.5000 0.0000 0.6426  3 Pt 2.57-2.72, 2 Na 2.72
Ac1 0.5000 0.0000 0.2438  8 As 3.41-3.44, 2 Na 3.50, 7 Pt 3.50-3.66
Ac2 0.0000 0.5000 0.7562  8 As 3.41-3.44, 2 Na 3.50, 7 Pt 3.50-3.66
Na1 0.5000 0.5000 0.5000  4 As 2.72

# 11
Compound: NaAcAs2Pt4
Source: the Alexandria database
Functional: PBE-GGA
Structure: relaxed

E_form: -4.63 eV/f.u.
space group: P4/mmm, No. 123

abc: 4.0866 4.0866 10.7855
angles: 90.00 90.00 90.00
Last column: nearest neighbours and their distance in Å.
Fractional positions:
Pt1 0.5000 0.0000 0.2213  2 As 2.48
Pt2 0.5000 0.0000 0.7787  2 As 2.48
Pt3 0.0000 0.5000 0.2213  2 As 2.48
Pt4 0.0000 0.5000 0.7787  2 As 2.48
As1 0.5000 0.5000 0.6481  4 Pt 2.48
As2 0.5000 0.5000 0.3519  4 Pt 2.48
Na1 0.0000 0.0000 0.5000  8 As 3.30, 8 Pt 3.63
Ac1 0.0000 0.0000 0.0000  8 Pt 3.14

# 12
Compound: AcNbAsO6
Source: the Alexandria database
Functional: PBE-GGA
Structure: relaxed

space group: P4_2nm, No. 102
ΔE_f (raw): -206.2 kJ per mole of atoms

abc: 5.1365 5.1365 9.8583
angles: 90.00 90.00 90.00
Last column: nearest neighbours and their distance in Å.
Fractional positions:
O1 0.3348 0.3348 0.6563  1 As 1.87
O2 0.2112 0.7888 0.4689  1 Nb 1.99, 1 As 2.14
O3 0.2888 0.2888 0.9689  1 Nb 1.99, 1 As 2.14
O4 0.7112 0.7112 0.9689  1 Nb 1.99, 1 As 2.14
O5 0.2703 0.2703 0.3585  1 Nb 1.97
O6 0.7703 0.2297 0.8585  1 Nb 1.97
O7 0.8348 0.1652 0.1563  1 As 1.87
O8 0.7888 0.2112 0.4689  1 Nb 1.99, 1 As 2.14
O9 0.1652 0.8348 0.1563  1 As 1.87
O10 0.2297 0.7703 0.8585  1 Nb 1.97
O11 0.6652 0.6652 0.6563  1 As 1.87
O12 0.7297 0.7297 0.3585  1 Nb 1.97
As1 0.5000 0.5000 0.5115  2 O 1.87
As2 0.0000 0.0000 0.0115  2 O 1.87
Nb1 0.0000 0.0000 0.3403  6 O 1.97-2.17
Nb2 0.5000 0.5000 0.8403  6 O 1.97-2.17
Ac1 0.0000 0.0000 0.6806  6 O 2.42-2.59
Ac2 0.5000 0.5000 0.1806  6 O 2.42-2.59

# 13
Compound: AcNdAs2
Source: the Alexandria database
Functional: PBE-GGA
Structure: relaxed

E_form: -5.31 eV/f.u.
space group: R3m, No. 160

abc: 4.3500 4.3500 7.9511
angles: 74.12 74.12 60.00
Last column: nearest neighbours and their distance in Å.
Fractional positions:
Ac1 0.6691 0.6691 0.9926  6 As 3.15-3.23
Nd1 0.4983 0.4983 0.5050  6 As 3.08-3.11
As1 0.0863 0.0863 0.7410  3 Nd 3.08, 3 Ac 3.15
As2 0.2462 0.2462 0.2615  3 Nd 3.11, 3 Ac 3.23

# 14
Compound: Ac2NdAs
Source: the Alexandria database
Functional: PBE-GGA
Structure: relaxed

E_form: -2.08 eV/f.u.
space group: R-3m, No. 166

abc: 4.1953 4.1953 10.5359
angles: 78.52 78.52 60.00
Last column: nearest neighbours and their distance in Å.
Fractional positions:
As1 0.0000 0.0000 0.0000  6 Ac 3.11
Nd1 0.5000 0.5000 0.5000  6 Ac 3.99, 6 Nd 4.20
Ac1 0.7302 0.7302 0.8095  3 As 3.11
Ac2 0.2698 0.2698 0.1905  3 As 3.11

# 15
Compound: AcNdAs2
Source: the Alexandria database
Functional: PBE-GGA
Structure: relaxed

E_form: -5.78 eV/f.u.
space group: P6_3/mmc, No. 194

abc: 4.3718 4.3718 14.5944
angles: 90.00 90.00 120.00
Last column: nearest neighbours and their distance in Å.
Fractional positions:
Nd1 0.0000 0.0000 0.0000  6 As 3.04
Nd2 0.0000 0.0000 0.5000  6 As 3.04
As1 0.3333 0.6667 0.1167  3 Nd 3.04, 3 Ac 3.19
As2 0.6667 0.3333 0.8833  3 Nd 3.04, 3 Ac 3.19
As3 0.6667 0.3333 0.6167  3 Nd 3.04, 3 Ac 3.19
As4 0.3333 0.6667 0.3833  3 Nd 3.04, 3 Ac 3.19
Ac1 0.3333 0.6667 0.7500  6 As 3.19
Ac2 0.6667 0.3333 0.2500  6 As 3.19

# 16
Compound: Ac5Nd3As8
Source: the Alexandria database
Functional: PBE-GGA
Structure: relaxed

E_form: -23.57 eV/f.u.
space group: R-3m, No. 166

abc: 8.8991 8.8991 8.9023
angles: 60.01 60.01 60.00
Last column: nearest neighbours and their distance in Å.
Fractional positions:
Ac1 0.5000 0.5000 0.5000  6 As 3.15
Ac2 0.5000 0.5000 0.0000  6 As 3.20-3.21
Ac3 0.0000 0.0000 0.0000  6 As 3.15
Ac4 0.0000 0.5000 0.0000  6 As 3.20-3.21
Ac5 0.5000 0.0000 0.0000  6 As 3.20-3.21
As1 0.2406 0.7500 0.2594  2 Nd 3.09, 4 Ac 3.15-3.21
As2 0.7500 0.2406 0.2594  2 Nd 3.09, 4 Ac 3.15-3.21
As3 0.2500 0.7594 0.7406  2 Nd 3.09, 4 Ac 3.15-3.21
As4 0.2500 0.2500 0.7406  2 Nd 3.09, 4 Ac 3.15-3.21
As5 0.7594 0.2500 0.7406  2 Nd 3.09, 4 Ac 3.15-3.21
As6 0.2456 0.2456 0.2632  3 Nd 3.09, 3 Ac 3.20
As7 0.7544 0.7544 0.7368  3 Nd 3.09, 3 Ac 3.20
As8 0.7500 0.7500 0.2594  2 Nd 3.09, 4 Ac 3.15-3.21
Nd1 0.0000 0.5000 0.5000  6 As 3.09
Nd2 0.5000 0.0000 0.5000  6 As 3.09
Nd3 0.0000 0.0000 0.5000  6 As 3.09

# 17
Compound: AcNd5As6
Source: the Alexandria database
Functional: PBE-GGA
Structure: relaxed

E_form: -17.92 eV/f.u.
space group: C2/m, No. 12

abc: 7.4865 7.4881 7.4865
angles: 59.99 80.39 70.50
Last column: nearest neighbours and their distance in Å.
Fractional positions:
As1 0.2540 0.2563 0.0000  5 Nd 2.99-3.05, 1 Ac 3.12
As2 0.2549 0.9150 0.6592  5 Nd 3.00-3.06, 1 Ac 3.12
As3 0.2549 0.5742 0.3408  5 Nd 3.00-3.06, 1 Ac 3.12
As4 0.7451 0.4258 0.6592  5 Nd 3.00-3.06, 1 Ac 3.12
As5 0.7460 0.7437 0.0000  5 Nd 2.99-3.05, 1 Ac 3.12
As6 0.7451 0.0850 0.3408  5 Nd 3.00-3.06, 1 Ac 3.12
Ac1 0.0000 0.0000 0.0000  6 As 3.12
Nd1 0.0000 0.3330 0.3341  6 As 3.05
Nd2 0.5000 0.8344 0.3312  6 As 3.00-3.06
Nd3 0.5000 0.1656 0.6688  6 As 3.00-3.06
Nd4 0.5000 0.5000 0.0000  6 As 2.99-3.06
Nd5 0.0000 0.6670 0.6659  6 As 3.05

# 18
Compound: AcNdAs2
Source: the Alexandria database
Functional: PBE-GGA
Structure: relaxed

E_form: -4.30 eV/f.u.
space group: P4/mmm, No. 123

abc: 3.7701 5.3691 5.3691
angles: 90.00 90.00 90.00
Last column: nearest neighbours and their distance in Å.
Fractional positions:
Nd1 0.5000 0.5000 0.5000  8 As 3.28
As1 0.0000 0.0000 0.5000  4 Nd 3.28, 4 Ac 3.28
As2 0.0000 0.5000 0.0000  4 Nd 3.28, 4 Ac 3.28
Ac1 0.5000 0.0000 0.0000  8 As 3.28

# 19
Compound: AcNdAs2
Source: the Alexandria database
Functional: PBE-GGA
Structure: relaxed

E_form: -5.92 eV/f.u.
space group: R-3m, No. 166

abc: 4.4116 4.4116 7.6514
angles: 73.23 73.23 60.00
Last column: nearest neighbours and their distance in Å.
Fractional positions:
As1 0.2454 0.2454 0.2639  3 Nd 3.06, 3 Ac 3.18
As2 0.7546 0.7546 0.7361  3 Nd 3.06, 3 Ac 3.18
Nd1 0.5000 0.5000 0.5000  6 As 3.06
Ac1 0.0000 0.0000 0.0000  6 As 3.18

# 20
Compound: AcNd2As3
Source: the Alexandria database
Functional: PBE-GGA
Structure: relaxed

E_form: -8.87 eV/f.u.
space group: Immm, No. 71

abc: 4.3663 6.1893 7.5700
angles: 114.13 106.76 90.00
Last column: nearest neighbours and their distance in Å.
Fractional positions:
As1 0.6741 0.6741 0.3483  4 Nd 3.02-3.10, 2 Ac 3.16
As2 0.3259 0.3259 0.6517  4 Nd 3.02-3.10, 2 Ac 3.16
As3 0.0000 0.0000 0.0000  4 Nd 3.08, 2 Ac 3.09
Nd1 0.3338 0.8338 0.6676  6 As 3.02-3.10
Nd2 0.6662 0.1662 0.3324  6 As 3.02-3.10
Ac1 0.0000 0.5000 0.0000  6 As 3.09-3.16